*A*
K3MoF6 (PBE with a Hubbard U, relaxed); theoretical density = 2.797 g cm⁻³; calculated volume = 19.4 A^3/atom; space group = Fm-3m
1.0
0.000 4.597 4.597
4.597 0.000 4.597
4.597 4.597 0.000
K Mo F
3 1 6
Cartesian
0.000 0.000 0.000
2.299 2.299 2.299
6.896 6.896 6.896
4.597 4.597 4.597
4.597 4.597 2.505
4.597 2.505 4.597
6.690 4.597 4.597
2.505 4.597 4.597
4.597 6.690 4.597
4.597 4.597 6.690

=====

*B*
K3MoF6 (PBE with a Hubbard U, relaxed); theoretical density = 2.705 g cm⁻³; calculated volume = 20.1 A^3/atom; space group = R-3
1.0
5.299 3.059 4.131
-5.299 3.059 4.131
0.000 -6.119 4.131
K Mo F
6 2 12
Cartesian
-2.653 -2.716 5.682
-3.679 0.940 6.711
1.026 -3.656 6.711
-1.026 3.656 5.682
3.679 -0.940 5.682
2.653 2.716 6.711
0.000 0.000 0.000
0.000 0.000 6.196
-4.646 -1.484 6.999
-1.038 -4.765 5.393
-1.755 -0.241 5.056
-3.608 3.281 5.393
1.086 -1.399 5.056
-0.669 -1.640 7.336
0.669 1.640 5.056
-1.086 1.399 7.336
3.608 -3.281 6.999
1.755 0.241 7.336
1.038 4.765 6.999
4.646 1.484 5.393

=====

Which structure is the least stable? The one labeled *A*.